Material: Dy2ErTm
Method: DFT, PBE
State: optimized geometry

Unit cell a=11.503 b=11.503 c=11.503 alpha=17.71 beta=17.71 gamma=17.71
Atoms (fractional coordinates):
1 Dy 0.000 0.000 0.000
2 Dy 0.165 0.165 0.165
3 Er 0.583 0.583 0.583
4 Tm 0.749 0.749 0.749

ΔH_f (0 K)	0.22	kcal/mol of atoms
final energy	-4.5502	eV/atom
polymorph energy (0 for the lowest one)	3	kJ/mol of formula units


Material: Dy6Er7Tm16
Method: DFT, PBE
State: optimized geometry

Unit cell a=10.950 b=10.950 c=10.950 alpha=60.00 beta=60.00 gamma=60.00
Atoms (fractional coordinates):
1 Dy 0.218 0.218 0.782
2 Dy 0.218 0.782 0.218
3 Dy 0.218 0.782 0.782
4 Dy 0.782 0.218 0.218
5 Dy 0.782 0.218 0.782
6 Dy 0.782 0.782 0.218
7 Er 0.000 0.000 0.500
8 Er 0.000 0.500 0.000
9 Er 0.000 0.500 0.500
10 Er 0.500 0.000 0.000
11 Er 0.500 0.000 0.500
12 Er 0.500 0.500 0.000
13 Er 0.500 0.500 0.500
14 Tm 0.134 0.622 0.622
15 Tm 0.153 0.153 0.153
16 Tm 0.153 0.153 0.541
17 Tm 0.153 0.541 0.153
18 Tm 0.378 0.378 0.378
19 Tm 0.378 0.378 0.866
20 Tm 0.378 0.866 0.378
21 Tm 0.459 0.847 0.847
22 Tm 0.541 0.153 0.153
23 Tm 0.622 0.134 0.622
24 Tm 0.622 0.622 0.134
25 Tm 0.622 0.622 0.622
26 Tm 0.847 0.459 0.847
27 Tm 0.847 0.847 0.459
28 Tm 0.847 0.847 0.847
29 Tm 0.866 0.378 0.378

ΔH_f (0 K)	5.83	kcal/mol of atoms
final energy	-4.2678	eV/atom


Material: Dy9Er2Tm
Method: DFT, PBE
State: optimized geometry

Unit cell a=4.984 b=4.984 c=14.950 alpha=90.00 beta=90.00 gamma=90.00
Atoms (fractional coordinates):
1 Dy 0.000 0.000 0.000
2 Dy 0.000 0.000 0.333
3 Dy 0.000 0.000 0.667
4 Dy 0.000 0.500 0.166
5 Dy 0.000 0.500 0.500
6 Dy 0.000 0.500 0.834
7 Dy 0.500 0.000 0.166
8 Dy 0.500 0.000 0.500
9 Dy 0.500 0.000 0.834
10 Er 0.500 0.500 0.333
11 Er 0.500 0.500 0.667
12 Tm 0.500 0.500 0.000

ΔH_f (0 K)	0.49	kcal/mol of atoms
final energy	-4.5633	eV/atom
polymorph energy (0 for the lowest one)	0	kJ/mol of formula units


Material: Dy4Er2Tm3
Method: DFT, PBE
State: optimized geometry

Unit cell a=9.797 b=9.797 c=6.082 alpha=94.64 beta=94.64 gamma=71.66
Atoms (fractional coordinates):
1 Dy 0.096 0.810 0.987
2 Dy 0.144 0.431 0.154
3 Dy 0.190 0.904 0.513
4 Dy 0.431 0.144 0.654
5 Dy 0.569 0.856 0.346
6 Dy 0.810 0.096 0.487
7 Dy 0.856 0.569 0.846
8 Dy 0.904 0.190 0.013
9 Er 0.239 0.522 0.681
10 Er 0.478 0.761 0.819
11 Er 0.522 0.239 0.181
12 Er 0.761 0.478 0.319
13 Tm 0.070 0.264 0.581
14 Tm 0.264 0.070 0.081
15 Tm 0.403 0.597 0.250
16 Tm 0.597 0.403 0.750
17 Tm 0.736 0.930 0.919
18 Tm 0.930 0.736 0.419

ΔH_f (0 K)	2.31	kcal/mol of atoms
final energy	-4.4497	eV/atom


Material: Dy2Er3Tm5
Method: DFT, PBE
State: optimized geometry

Unit cell a=9.340 b=9.340 c=9.350 alpha=108.48 beta=108.48 gamma=111.37
Atoms (fractional coordinates):
1 Dy 0.020 0.273 0.047
2 Dy 0.273 0.020 0.547
3 Dy 0.727 0.980 0.453
4 Dy 0.980 0.727 0.953
5 Er 0.022 0.978 0.750
6 Er 0.224 0.472 0.451
7 Er 0.472 0.224 0.951
8 Er 0.528 0.776 0.049
9 Er 0.776 0.528 0.549
10 Er 0.978 0.022 0.250
11 Tm 0.133 0.381 0.762
12 Tm 0.228 0.772 0.750
13 Tm 0.274 0.726 0.250
14 Tm 0.381 0.133 0.262
15 Tm 0.476 0.524 0.250
16 Tm 0.524 0.476 0.750
17 Tm 0.619 0.867 0.738
18 Tm 0.726 0.274 0.750
19 Tm 0.772 0.228 0.250
20 Tm 0.867 0.619 0.238

ΔH_f (0 K)	4.72	kcal/mol of atoms
final energy	-4.3205	eV/atom
polymorph energy (0 for the lowest one)	0	kJ/mol of formula units


Material: Dy19Er6Tm4
Method: DFT, PBE
State: optimized geometry

Unit cell a=10.699 b=10.699 c=10.699 alpha=109.47 beta=109.47 gamma=109.47
Atoms (fractional coordinates):
1 Dy 0.000 0.000 0.000
2 Dy 0.000 0.262 0.262
3 Dy 0.000 0.738 0.738
4 Dy 0.015 0.802 0.341
5 Dy 0.198 0.214 0.539
6 Dy 0.214 0.539 0.198
7 Dy 0.262 0.000 0.262
8 Dy 0.262 0.262 0.000
9 Dy 0.326 0.786 0.985
10 Dy 0.341 0.015 0.802
11 Dy 0.461 0.674 0.659
12 Dy 0.539 0.198 0.214
13 Dy 0.659 0.461 0.674
14 Dy 0.674 0.659 0.461
15 Dy 0.738 0.000 0.738
16 Dy 0.738 0.738 0.000
17 Dy 0.786 0.985 0.326
18 Dy 0.802 0.341 0.015
19 Dy 0.985 0.326 0.786
20 Er 0.128 0.628 0.500
21 Er 0.372 0.500 0.872
22 Er 0.500 0.128 0.628
23 Er 0.500 0.872 0.372
24 Er 0.628 0.500 0.128
25 Er 0.872 0.372 0.500
26 Tm 0.000 0.000 0.643
27 Tm 0.000 0.643 0.000
28 Tm 0.357 0.357 0.357
29 Tm 0.643 0.000 0.000

ΔH_f (0 K)	9.02	kcal/mol of atoms
final energy	-4.1849	eV/atom